# HWNF2

A relaxed HWNF2 crystal (PBE+U, Alexandria via LeMat-Bulk).

Unit cell a=4.178 b=4.178 c=3.877 alpha=90.00 beta=90.00 gamma=90.00
Positions (direct):
H (0.000, 0.000, 0.000)
W (0.500, 0.500, 0.500)
N (0.500, 0.500, 0.000)
F (0.000, 0.500, 0.500)
F (0.500, 0.000, 0.500)

## Properties
The energy above the lowest structure with this stoichiometry comes out at 0 meV/atom. As for the volume: 13.5 Å³ per atom. As for the theoretical density: 5.812 Mg/m³. The space group is P4/mmm.